LiAl3In at its PBEsol-relaxed geometry, computed with meta-GGA SCAN.

Cell: 4.6160 4.6160 4.6160 Å, 90.00 90.00 90.00°
Closest atoms and distances in Å follow each position.
Atoms (fractional coordinates):
Li: 0.0000 0.0000 0.0000  6 Al 2.31
Al: 0.0000 0.5000 0.0000  2 Li 2.31
Al: 0.0000 0.0000 0.5000  2 Li 2.31
Al: 0.5000 0.0000 0.0000  2 Li 2.31
In: 0.5000 0.5000 0.5000  12 Al 3.26

Computed properties:
Its symmetry is Pm-3m. For the energy relative to the elements, the calculation gives 47.5 kJ per mole of atoms. The value obtained for the magnetization is 0.000 μB/atom. The total energy is -56.572 eV for the cell shown.